Record 1
A geometry-optimized CsKBa2Au structure, computed with PBE. Values from VASP.

N(E_F) in states/eV/cell: 4.728
Offset from the most stable computed form in eV/atom: 0.006
Space group: P4/mmm (123)
Magnetization in μB/cell: 0.00
Energy relative to the elements in kJ/mol of formula units: -92.0

Quantum ESPRESSO input file:
```
&SYSTEM
  ibrav = 0, nat = 5, ntyp = 4
/
ATOMIC_SPECIES
Cs 132.91 Cs.upf
K 39.10 K.upf
Ba 137.33 Ba.upf
Au 196.97 Au.upf
CELL_PARAMETERS angstrom
6.538 0.000 0.000
0.000 6.538 0.000
0.000 0.000 7.149
ATOMIC_POSITIONS crystal
Cs 0.000 0.000 0.000
K 0.500 0.500 0.000
Ba 0.000 0.500 0.500
Ba 0.500 0.000 0.500
Au 0.500 0.500 0.500
```



Record 2
A geometry-optimized Mo3PtC structure, computed with PBE. Values from VASP.

N(E_F) in states/eV/cell: 3.159
Offset from the most stable computed form in eV/atom: 0.062
Space group: Pm-3m (221)
Magnetization in μB/cell: 0.00
Energy relative to the elements in kJ/mol of formula units: -25.5

Quantum ESPRESSO input file:
```
&SYSTEM
  ibrav = 0, nat = 5, ntyp = 3
/
ATOMIC_SPECIES
Mo 95.94 Mo.upf
Pt 195.08 Pt.upf
C 12.01 C.upf
CELL_PARAMETERS angstrom
4.135 0.000 0.000
0.000 4.135 0.000
0.000 0.000 4.135
ATOMIC_POSITIONS crystal
Mo 0.000 0.000 0.500
Mo 0.000 0.500 0.000
Mo 0.500 0.000 0.000
Pt 0.500 0.500 0.500
C 0.000 0.000 0.000
```



Record 3
A geometry-optimized ZrSnMo2C structure, computed with PBE. Values from VASP.

N(E_F) in states/eV/cell: 4.364
Space group: P4/mmm (123)
Magnetization in μB/cell: 0.00
Energy relative to the elements in kJ/mol of formula units: 133.0

Quantum ESPRESSO input file:
```
&SYSTEM
  ibrav = 0, nat = 5, ntyp = 4
/
ATOMIC_SPECIES
Zr 91.22 Zr.upf
Sn 118.71 Sn.upf
Mo 95.94 Mo.upf
C 12.01 C.upf
CELL_PARAMETERS angstrom
4.149 0.000 0.000
0.000 4.149 0.000
0.000 0.000 4.982
ATOMIC_POSITIONS crystal
Zr 0.000 0.000 0.000
Sn 0.500 0.500 0.000
Mo 0.000 0.500 0.500
Mo 0.500 0.000 0.500
C 0.500 0.500 0.500
```



Record 4
A geometry-optimized Rb2InSb2O6 structure, computed with PBE. Values from VASP.

N(E_F) in states/eV/cell: 2.929
E_tot in eV/cell: -57.4
Space group: C2/m (12)
Magnetization in μB/cell: 0.83

Quantum ESPRESSO input file:
```
&SYSTEM
  ibrav = 0, nat = 11, ntyp = 4
/
ATOMIC_SPECIES
Rb 85.47 Rb.upf
In 114.82 In.upf
Sb 121.76 Sb.upf
O 16.00 O.upf
CELL_PARAMETERS angstrom
5.035 -3.109 0.000
5.035 3.109 0.000
-3.009 0.000 6.674
ATOMIC_POSITIONS crystal
Rb 0.196 0.196 0.138
Rb 0.804 0.804 0.862
In 0.000 0.000 0.500
Sb 0.423 0.423 0.754
Sb 0.577 0.577 0.246
O 0.216 0.714 0.267
O 0.230 0.230 0.541
O 0.286 0.784 0.733
O 0.714 0.216 0.267
O 0.770 0.770 0.459
O 0.784 0.286 0.733
```



Record 5
A geometry-optimized Ce3Nd2YP6 structure, computed with PBE. Values from VASP.

N(E_F) in states/eV/cell: 14.111
Space group: C2/m (12)
Magnetization in μB/cell: 1.47
Energy relative to the elements in kJ/mol of formula units: -1779.8

Quantum ESPRESSO input file:
```
&SYSTEM
  ibrav = 0, nat = 12, ntyp = 4
/
ATOMIC_SPECIES
Ce 140.12 Ce.upf
Nd 144.24 Nd.upf
Y 88.91 Y.upf
P 30.97 P.upf
CELL_PARAMETERS angstrom
3.553 -6.154 0.000
3.553 6.154 0.000
-2.370 0.000 6.693
ATOMIC_POSITIONS crystal
Ce 0.000 0.000 0.000
Ce 0.332 0.668 0.000
Ce 0.668 0.332 0.000
Nd 0.166 0.834 0.500
Nd 0.834 0.166 0.500
Y 0.500 0.500 0.500
P 0.087 0.415 0.246
P 0.257 0.257 0.755
P 0.415 0.087 0.246
P 0.585 0.913 0.754
P 0.743 0.743 0.245
P 0.913 0.585 0.754
```



Record 6
A geometry-optimized BaSc2Cu2 structure, computed with PBE. Values from VASP.

N(E_F) in states/eV/cell: 2.881
Offset from the most stable computed form in eV/atom: 0.000
Space group: I4/mmm (139)
Magnetization in μB/cell: 0.00
Energy relative to the elements in kJ/mol of formula units: 20.8

Quantum ESPRESSO input file:
```
&SYSTEM
  ibrav = 0, nat = 5, ntyp = 3
/
ATOMIC_SPECIES
Ba 137.33 Ba.upf
Sc 44.96 Sc.upf
Cu 63.55 Cu.upf
CELL_PARAMETERS angstrom
-2.328 2.328 5.694
2.328 -2.328 5.694
2.328 2.328 -5.694
ATOMIC_POSITIONS crystal
Ba 0.000 0.000 0.000
Sc 0.250 0.750 0.500
Sc 0.750 0.250 0.500
Cu 0.384 0.384 0.000
Cu 0.616 0.616 0.000
```